1.
Computed, not measured: crystalline CsCuSCl2 at its relaxed geometry at the PBE level of DFT.

abc: 5.327 5.327 4.492
angles: 90.00 90.00 90.00
Fractional coordinates of all 5 atoms:
Cs1 0.000 0.000 0.000
Cu1 0.500 0.500 0.500
S1 0.500 0.500 0.000
Cl1 0.000 0.500 0.500
Cl2 0.500 0.000 0.500

For the polymorph energy (0 for the lowest one), the calculation gives 0.0 meV/atom. Its space group is No. 123. The total magnetic moment is 1.27 Bohr magnetons per cell. The uncorrected formation energy is -326 kJ/mol of formula units.


2.
Computed, not measured: crystalline YGaPt2 at its relaxed geometry at the PBE level of DFT.

abc: 14.630 7.243 5.561
angles: 90.00 90.00 90.00
Fractional coordinates of all 32 atoms:
Y1 0.112 0.250 0.238
Y2 0.137 0.750 0.006
Y3 0.363 0.250 0.506
Y4 0.388 0.750 0.738
Y5 0.612 0.250 0.262
Y6 0.637 0.750 0.494
Y7 0.863 0.250 0.994
Y8 0.888 0.750 0.762
Ga1 0.067 0.750 0.514
Ga2 0.181 0.250 0.745
Ga3 0.319 0.750 0.245
Ga4 0.433 0.250 0.014
Ga5 0.567 0.750 0.986
Ga6 0.681 0.250 0.755
Ga7 0.819 0.750 0.255
Ga8 0.933 0.250 0.486
Pt1 0.033 0.049 0.764
Pt2 0.033 0.451 0.764
Pt3 0.216 0.553 0.528
Pt4 0.216 0.947 0.528
Pt5 0.284 0.053 0.028
Pt6 0.284 0.447 0.028
Pt7 0.467 0.549 0.264
Pt8 0.467 0.951 0.264
Pt9 0.533 0.049 0.736
Pt10 0.533 0.451 0.736
Pt11 0.716 0.553 0.972
Pt12 0.716 0.947 0.972
Pt13 0.784 0.053 0.472
Pt14 0.784 0.447 0.472
Pt15 0.967 0.549 0.236
Pt16 0.967 0.951 0.236

Its space group is No. 62. For the formation energy, the calculation gives -1.0564 eV per atom. The total magnetic moment is 0.00 Bohr magnetons per cell.


3.
Computed, not measured: crystalline CaTl2Ga2 at its relaxed geometry at the PBE level of DFT.

abc: 8.366 8.366 3.786
angles: 90.00 90.00 90.00
Fractional coordinates of all 10 atoms:
Ca1 0.000 0.000 0.000
Ca2 0.500 0.500 0.000
Tl1 0.135 0.365 0.000
Tl2 0.365 0.865 0.000
Tl3 0.635 0.135 0.000
Tl4 0.865 0.635 0.000
Ga1 0.165 0.665 0.500
Ga2 0.335 0.165 0.500
Ga3 0.665 0.835 0.500
Ga4 0.835 0.335 0.500

For the polymorph energy (0 for the lowest one), the calculation gives 85.2 meV/atom. Its space group is No. 127. For the formation energy, the calculation gives -0.0480 eV per atom. The total magnetic moment is 0.00 Bohr magnetons per cell.


4.
Computed, not measured: crystalline CaTc2AsOs at its relaxed geometry at the PBE level of DFT.

abc: 4.645 4.645 4.625
angles: 90.00 90.00 90.00
Fractional coordinates of all 5 atoms:
Ca1 0.000 0.000 0.000
Tc1 0.000 0.500 0.500
Tc2 0.500 0.000 0.500
As1 0.500 0.500 0.500
Os1 0.500 0.500 0.000

Its space group is No. 123. For the formation energy, the calculation gives 0.7877 eV per atom. The total magnetic moment is 2.13 Bohr magnetons per cell.


5.
Computed, not measured: crystalline Hf2CdFeS at its relaxed geometry at the PBE level of DFT.

abc: 5.250 5.250 4.557
angles: 90.00 90.00 90.00
Fractional coordinates of all 5 atoms:
Hf1 0.000 0.500 0.000
Hf2 0.500 0.000 0.000
Cd1 0.000 0.000 0.000
Fe1 0.500 0.500 0.500
S1 0.000 0.000 0.500

Its space group is No. 123. The total magnetic moment is 0.00 Bohr magnetons per cell. The uncorrected formation energy is 906 kJ/mol of formula units.


6.
Computed, not measured: crystalline PaFe4Pb at its relaxed geometry at the PBE level of DFT.

abc: 5.121 5.121 5.121
angles: 60.00 60.00 60.00
Fractional coordinates of all 6 atoms:
Pa1 0.000 0.000 0.000
Fe1 0.374 0.374 0.374
Fe2 0.374 0.374 0.879
Fe3 0.374 0.879 0.374
Fe4 0.879 0.374 0.374
Pb1 0.750 0.750 0.750

Its space group is No. 216. For the formation energy, the calculation gives 0.0971 eV per atom. The total magnetic moment is 7.43 Bohr magnetons per cell.


7.
Computed, not measured: crystalline CaThNbN3 at its relaxed geometry at the PBE level of DFT.

abc: 7.127 3.639 9.021
angles: 90.00 97.76 90.00
Fractional coordinates of all 12 atoms:
Ca1 0.153 0.250 0.126
Ca2 0.847 0.750 0.874
Th1 0.363 0.750 0.843
Th2 0.637 0.250 0.157
Nb1 0.052 0.250 0.616
Nb2 0.948 0.750 0.384
N1 0.108 0.250 0.850
N2 0.164 0.750 0.577
N3 0.408 0.750 0.108
N4 0.592 0.250 0.892
N5 0.836 0.250 0.423
N6 0.892 0.750 0.150

Its space group is No. 11. The total magnetic moment is 0.37 Bohr magnetons per cell. The uncorrected formation energy is -597 kJ/mol of formula units.


8.
Computed, not measured: crystalline NaYN2 at its relaxed geometry at the PBE level of DFT.

abc: 4.158 4.158 4.158
angles: 60.00 60.00 60.00
Fractional coordinates of all 4 atoms:
Na1 0.000 0.000 0.000
Y1 0.500 0.500 0.500
N1 0.250 0.250 0.250
N2 0.750 0.750 0.750

For the polymorph energy (0 for the lowest one), the calculation gives 29.5 meV/atom. Its space group is No. 225. The total magnetic moment is 1.88 Bohr magnetons per cell. The uncorrected formation energy is -5 kJ/mol of formula units.


9.
Computed, not measured: crystalline TmSb2Pb at its relaxed geometry at the PBE level of DFT.

abc: 8.014 8.014 8.014
angles: 31.65 31.65 31.65
Fractional coordinates of all 4 atoms:
Tm1 0.000 0.000 0.000
Sb1 0.257 0.257 0.257
Sb2 0.743 0.743 0.743
Pb1 0.500 0.500 0.500

For the polymorph energy (0 for the lowest one), the calculation gives 0.0 meV/atom. Its space group is No. 166. The total magnetic moment is 0.00 Bohr magnetons per cell. The uncorrected formation energy is -155 kJ/mol of formula units.


10.
Computed, not measured: crystalline BaCa2Cl at its relaxed geometry at the PBE level of DFT.

abc: 7.249 7.249 7.249
angles: 148.04 119.86 69.74
Fractional coordinates of all 4 atoms:
Ba1 0.000 0.000 0.000
Ca1 0.321 0.821 0.500
Ca2 0.614 0.614 0.000
Cl1 0.785 0.285 0.500

For the polymorph energy (0 for the lowest one), the calculation gives 89.1 meV/atom. Its space group is No. 44. The total magnetic moment is 0.00 Bohr magnetons per cell. The uncorrected formation energy is -261 kJ/mol of formula units.


11.
Computed, not measured: crystalline Tb3PbNO at its relaxed geometry at the PBE level of DFT.

abc: 7.916 3.735 9.491
angles: 90.00 112.77 90.00
Fractional coordinates of all 12 atoms:
Tb1 0.035 0.250 0.374
Tb2 0.293 0.250 0.933
Tb3 0.393 0.750 0.648
Tb4 0.607 0.250 0.352
Tb5 0.707 0.750 0.067
Tb6 0.965 0.750 0.626
Pb1 0.224 0.750 0.211
Pb2 0.776 0.250 0.789
N1 0.185 0.250 0.637
N2 0.815 0.750 0.363
O1 0.411 0.750 0.890
O2 0.589 0.250 0.110

Its space group is No. 11. The total magnetic moment is 0.00 Bohr magnetons per cell. The uncorrected formation energy is -956 kJ/mol of formula units.


12.
Computed, not measured: crystalline Na3Eu at its relaxed geometry at the PBE level of DFT.

abc: 6.110 6.110 6.110
angles: 60.00 60.00 60.00
Fractional coordinates of all 4 atoms:
Na1 0.000 0.000 0.000
Na2 0.250 0.250 0.250
Na3 0.750 0.750 0.750
Eu1 0.500 0.500 0.500

Its space group is No. 225. For the formation energy, the calculation gives 0.1196 eV per atom. The total magnetic moment is 7.39 Bohr magnetons per cell.